Entry 1:
Computed, not measured: a geometry-optimized Cs2BiCl7 structure at the PBE level of DFT.

- space group = I4/mmm
- uncorrected energy (eV for the cell shown) = -29.96

Cell lengths 8.120, 8.120, 8.120 Å; angles 123.08, 123.08, 84.74 degrees
Fractional coordinates of all 10 atoms:
Cs1 0.250 0.750 0.500
Cs2 0.750 0.250 0.500
Bi1 0.000 0.000 0.000
Cl1 0.220 0.220 0.000
Cl2 0.238 0.238 0.476
Cl3 0.238 0.762 0.000
Cl4 0.500 0.500 0.000
Cl5 0.762 0.238 0.000
Cl6 0.762 0.762 0.524
Cl7 0.780 0.780 0.000

***

Entry 2:
Computed, not measured: a geometry-optimized CsBiCl14 structure at the PBE level of DFT.

- space group = P1
- uncorrected energy (eV for the cell shown) = -38.41

Cell lengths 8.337, 8.604, 10.339 Å; angles 104.28, 110.64, 97.34 degrees
Fractional coordinates of all 16 atoms:
Cs1 0.000 0.000 0.000
Bi1 0.469 0.417 0.863
Cl1 0.069 0.424 0.234
Cl2 0.085 0.383 0.429
Cl3 0.090 0.336 0.668
Cl4 0.216 0.778 0.312
Cl5 0.318 0.024 0.372
Cl6 0.360 0.746 0.994
Cl7 0.399 0.372 0.069
Cl8 0.452 0.925 0.917
Cl9 0.503 0.417 0.553
Cl10 0.582 0.149 0.818
Cl11 0.760 0.393 0.610
Cl12 0.772 0.612 0.003
Cl13 0.908 0.761 0.631
Cl14 0.988 0.003 0.643

***

Entry 3:
Computed, not measured: a geometry-optimized CsBiCl6 structure at the PBE level of DFT.

- space group = Fm-3m
- uncorrected energy (eV for the cell shown) = -22.74

Cell lengths 8.536, 8.536, 8.536 Å; angles 60.00, 60.00, 60.00 degrees
Fractional coordinates of all 8 atoms:
Cs1 0.000 0.000 0.000
Bi1 0.500 0.500 0.500
Cl1 0.291 0.291 0.709
Cl2 0.291 0.709 0.291
Cl3 0.291 0.709 0.709
Cl4 0.709 0.291 0.291
Cl5 0.709 0.291 0.709
Cl6 0.709 0.709 0.291

***

Entry 4:
Computed, not measured: a geometry-optimized Cs3Bi2Cl8 structure at the PBE level of DFT.

- space group = C2/m
- uncorrected energy (eV for the cell shown) = -42.69

Cell lengths 8.250, 8.250, 10.082 Å; angles 112.71, 112.71, 65.33 degrees
Fractional coordinates of all 13 atoms:
Cs1 0.000 0.000 0.000
Cs2 0.188 0.188 0.637
Cs3 0.812 0.812 0.363
Bi1 0.440 0.440 0.306
Bi2 0.560 0.560 0.694
Cl1 0.205 0.766 0.690
Cl2 0.234 0.795 0.310
Cl3 0.271 0.271 0.353
Cl4 0.295 0.295 0.013
Cl5 0.705 0.705 0.987
Cl6 0.729 0.729 0.647
Cl7 0.766 0.205 0.690
Cl8 0.795 0.234 0.310

***

Entry 5:
Computed, not measured: a geometry-optimized Cs3Bi2Cl9 structure at the PBE level of DFT.

- space group = Pnma
- polymorph energy (0 for the lowest one) (meV/atom) = 2

Cell lengths 19.261, 7.822, 13.540 Å; angles 90.00, 90.00, 90.00 degrees
Fractional coordinates of all 56 atoms:
Cs1 0.087 0.250 0.076
Cs2 0.091 0.750 0.594
Cs3 0.250 0.250 0.750
Cs4 0.250 0.750 0.250
Cs5 0.409 0.250 0.094
Cs6 0.413 0.750 0.576
Cs7 0.587 0.250 0.424
Cs8 0.591 0.750 0.906
Cs9 0.750 0.250 0.750
Cs10 0.750 0.750 0.250
Cs11 0.909 0.250 0.406
Cs12 0.913 0.750 0.924
Bi1 0.002 0.250 0.759
Bi2 0.177 0.250 0.416
Bi3 0.323 0.750 0.916
Bi4 0.498 0.750 0.259
Bi5 0.502 0.250 0.741
Bi6 0.677 0.250 0.084
Bi7 0.823 0.750 0.584
Bi8 0.998 0.750 0.241
Cl1 0.079 0.750 0.088
Cl2 0.080 0.010 0.832
Cl3 0.080 0.490 0.832
Cl4 0.084 0.003 0.335
Cl5 0.084 0.497 0.335
Cl6 0.087 0.250 0.583
Cl7 0.245 0.250 0.248
Cl8 0.246 0.501 0.500
Cl9 0.246 0.999 0.500
Cl10 0.254 0.001 0.000
Cl11 0.254 0.499 0.000
Cl12 0.255 0.750 0.748
Cl13 0.413 0.750 0.083
Cl14 0.416 0.503 0.835
Cl15 0.416 0.997 0.835
Cl16 0.420 0.510 0.332
Cl17 0.420 0.990 0.332
Cl18 0.421 0.250 0.588
Cl19 0.579 0.750 0.412
Cl20 0.580 0.010 0.668
Cl21 0.580 0.490 0.668
Cl22 0.584 0.003 0.165
Cl23 0.584 0.497 0.165
Cl24 0.587 0.250 0.917
Cl25 0.745 0.250 0.252
Cl26 0.746 0.501 0.000
Cl27 0.746 0.999 0.000
Cl28 0.754 0.001 0.500
Cl29 0.754 0.499 0.500
Cl30 0.755 0.750 0.752
Cl31 0.913 0.750 0.417
Cl32 0.916 0.503 0.665
Cl33 0.916 0.997 0.665
Cl34 0.920 0.510 0.168
Cl35 0.920 0.990 0.168
Cl36 0.921 0.250 0.912

***

Entry 6:
Computed, not measured: a geometry-optimized Cs5BiCl2 structure at the PBE level of DFT.

- space group = Cmcm
- uncorrected energy (eV for the cell shown) = -41.45

Cell lengths 8.470, 8.470, 16.833 Å; angles 90.00, 90.00, 131.90 degrees
Fractional coordinates of all 16 atoms:
Cs1 0.043 0.957 0.630
Cs2 0.043 0.957 0.870
Cs3 0.228 0.772 0.250
Cs4 0.357 0.643 0.555
Cs5 0.357 0.643 0.945
Cs6 0.643 0.357 0.055
Cs7 0.643 0.357 0.445
Cs8 0.772 0.228 0.750
Cs9 0.957 0.043 0.130
Cs10 0.957 0.043 0.370
Bi1 0.490 0.510 0.250
Bi2 0.510 0.490 0.750
Cl1 0.160 0.840 0.046
Cl2 0.160 0.840 0.454
Cl3 0.840 0.160 0.546
Cl4 0.840 0.160 0.954